Density functional theory data (PBE-GGA) for crystalline DyHgGe at its relaxed geometry.

Output
SG: Cmcm, No. 63
volume: 140.7 Å³/cell
magnetization: 0.0 μB/cell
formation enthalpy at 0 K: -0.52 eV per atom

Unit cell a=8.3668 b=8.3668 c=3.9925 alpha=90.00 beta=90.00 gamma=149.77
Sites, in units of the cell vectors:
Dy: 0.0918 0.9082 0.7500
Dy: 0.9082 0.0918 0.2500
Hg: 0.2676 0.7323 0.2500
Hg: 0.7323 0.2676 0.7500
Ge: 0.4426 0.5574 0.7500
Ge: 0.5574 0.4426 0.2500